Entry 1:
Material: PrSmS2
Method: DFT, PBE-GGA
State: optimized geometry

a = 4.054 Å, b = 4.054 Å, c = 5.735 Å
α = 90.00°, β = 90.00°, γ = 90.00°
Space group P4/mmm (No. 123)
Symmetry-distinct sites (fractional):
Pr (0.000, 0.000, 0.000) x1
Sm (0.500, 0.500, 0.500) x1
S (0.000, 0.000, 0.500) x1
S (0.500, 0.500, 0.000) x1

Properties
For the calculated total energy, the calculation gives -6.453 eV/atom.

=====

Entry 2:
Material: SrPrS2
Method: DFT, PBE-GGA
State: optimized geometry

a = 4.168 Å, b = 4.168 Å, c = 5.896 Å
α = 90.00°, β = 90.00°, γ = 90.00°
Space group P4/mmm (No. 123)
Symmetry-distinct sites (fractional):
Sr (0.000, 0.000, 0.000) x1
Pr (0.500, 0.500, 0.500) x1
S (0.000, 0.000, 0.500) x1
S (0.500, 0.500, 0.000) x1

Properties
For the calculated total energy, the calculation gives -5.725 eV/atom.

=====

Entry 3:
Material: SrPr2S3
Method: DFT, PBE-GGA
State: optimized geometry

a = 4.1498 Å, b = 4.1498 Å, c = 10.2126 Å
α = 90.00°, β = 90.00°, γ = 120.00°
Space group P-3m1 (No. 164)
Symmetry-distinct sites (fractional):
Sr (0.0000, 0.0000, 0.0000) x1
Pr (0.3333, 0.6667, 0.6544) x2
S (0.0000, 0.0000, 0.5000) x1
S (0.3333, 0.6667, 0.1723) x2

Properties
For the calculated total energy, the calculation gives -5.993 eV/atom.

=====

Entry 4:
Material: TbPrS2
Method: DFT, PBE-GGA
State: optimized geometry

a = 4.016 Å, b = 4.016 Å, c = 5.681 Å
α = 90.00°, β = 90.00°, γ = 90.00°
Space group P4/mmm (No. 123)
Symmetry-distinct sites (fractional):
Tb (0.000, 0.000, 0.000) x1
Pr (0.500, 0.500, 0.500) x1
S (0.000, 0.000, 0.500) x1
S (0.500, 0.500, 0.000) x1

Properties
As for the energy above the lowest structure with this stoichiometry: 31 meV/atom.